[1]
# K2Cu2SnSe4

An optimized crystal structure of K2Cu2SnSe4 (PBE, Alexandria via LeMat-Bulk).

The structure belongs to space group C2/m (No. 12); the cell edges are 14.406, 4.218 and 8.205 Å and the angles 90.00°, 114.24° and 90.00°. The inequivalent atoms are K at (0.152, 0.000, 0.075), Cu at (0.189, 0.500, 0.463), Sn at (0.000, 0.500, 0.500), Se at (0.014, 0.500, 0.194) and Se at (0.172, 0.000, 0.638).

The calculation puts the total moment at 0.000 μB per atom. The density of states at the Fermi level comes out at 0.37 states/eV per atom. The calculation puts the total energy at -66.3 eV per cell. The calculation puts the uncorrected formation energy at -0.53 eV/atom.


[2]
# ZnRhN2F

An optimized crystal structure of ZnRhN2F (PBE, Alexandria via LeMat-Bulk).

The structure belongs to space group P4/mmm (No. 123); the cell edges are 3.860, 3.860 and 4.265 Å and the angles 90.00°, 90.00° and 90.00°. The inequivalent atoms are Zn at (0.000, 0.000, 0.000), Rh at (0.500, 0.500, 0.500), N at (0.000, 0.500, 0.500) and F at (0.500, 0.500, 0.000).

The calculation puts the total moment at 0.126 μB per atom. The value obtained for the energy above the most stable polymorph in this dataset is 0 meV/atom. The density of states at the Fermi level comes out at 0.60 states/eV per atom. The calculation puts the total energy at -23.9 eV per cell. The calculation puts the uncorrected formation energy at 0.65 eV/atom.


[3]
# Tb2Dy3Th

An optimized crystal structure of Tb2Dy3Th (PBE, Alexandria via LeMat-Bulk).

The structure belongs to space group Cmc2_1 (No. 36); the cell edges are 9.385, 13.104 and 6.422 Å and the angles 90.00°, 90.00° and 90.00°. The inequivalent atoms are Tb at (0.182, 0.184, 0.000), Dy at (0.000, 0.413, 0.219), Dy at (0.182, 0.072, 0.482) and Th at (0.000, 0.330, 0.701).

The calculation puts the total moment at 0.000 μB per atom. The value obtained for the energy above the most stable polymorph in this dataset is 115 meV/atom. The density of states at the Fermi level comes out at 1.79 states/eV per atom. The calculation puts the total energy at -116.0 eV per cell. The calculation puts the calculated formation energy at 0.25 eV/atom.


[4]
# KSn3Pd2

An optimized crystal structure of KSn3Pd2 (PBE, Alexandria via LeMat-Bulk).

The structure belongs to space group Cmcm (No. 63); the cell edges are 11.750, 8.785 and 5.886 Å and the angles 90.00°, 90.00° and 90.00°. The inequivalent atoms are K at (0.000, 0.145, 0.250), Sn at (0.000, 0.438, 0.750), Sn at (0.193, 0.220, 0.750) and Pd at (0.203, 0.500, 0.000).

The calculation puts the total moment at 0.000 μB per atom. The density of states at the Fermi level comes out at 0.45 states/eV per atom. The calculation puts the total energy at -103.0 eV per cell. The calculation puts the calculated formation energy at -0.37 eV/atom.


Number 3 is which compound? Tb2Dy3Th